VASP calculation (PBE) on a relaxed structure of B3C.

Properties
* relative energy among the computed polymorphs: 137 meV/atom
* SG: No. 6
* total magnetization: 0.000 Bohr magnetons per cell

Structure (POSCAR):
```
B3C
1.0
5.2096 0.0000 0.0000
0.0000 2.6219 0.0000
-2.5039 0.0000 6.0132
B C
9 3
Direct
0.0000 0.0000 0.0000
0.0019 0.0000 0.7006
0.1808 0.5000 0.3840
0.3937 0.0000 0.1025
0.4679 0.5000 0.7812
0.6501 0.0000 0.4391
0.6744 0.0000 0.7193
0.8416 0.5000 0.1117
0.8557 0.5000 0.3963
0.1328 0.5000 0.6367
0.3120 0.0000 0.3331
0.5121 0.5000 0.0368
```